TlBiC2, optimized geometry, DFT PBE-GGA; total magnetic moment = 0.0 Bohr magnetons per cell; offset from the most stable computed form = 0.0 kJ per mole of atoms; calculated volume = 154 Å³ per cell; DOS(E_F) = 0.00 states/eV/f.u.
1.0
-0.418 -1.108 -5.241
-3.731 -3.712 1.082
-5.883 1.278 -2.556
C Tl Bi
4 2 2
Direct
0.632 0.125 0.250
0.118 0.625 0.250
0.875 0.882 0.750
0.375 0.368 0.750
0.250 0.750 0.500
0.500 0.500 0.000
0.750 0.250 0.500
0.000 0.000 0.000

***

TlBiC, optimized geometry, DFT PBE-GGA; total magnetic moment = 0.0 Bohr magnetons per cell; offset from the most stable computed form = 37.2 kJ per mole of atoms; calculated volume = 148 Å³ per cell; DOS(E_F) = 0.80 states/eV/f.u.
1.0
7.116 0.000 -0.288
0.000 3.576 0.000
-2.328 0.000 5.900
C Bi Tl
2 2 2
Direct
0.531 0.000 0.617
0.531 0.500 0.117
0.357 0.500 0.365
0.357 0.000 0.865
0.835 0.500 0.812
0.835 0.000 0.312

***

TlBiC, optimized geometry, DFT PBE-GGA; total magnetic moment = 0.0 Bohr magnetons per cell; offset from the most stable computed form = 0.0 kJ per mole of atoms; calculated volume = 184 Å³ per cell; DOS(E_F) = 0.20 states/eV/f.u.
1.0
4.274 -0.001 -0.010
-0.017 7.107 -0.011
-2.109 -3.333 6.074
Tl Bi C
2 2 2
Direct
0.744 0.059 0.875
0.033 0.127 0.457
0.046 0.618 0.478
0.376 0.538 0.138
0.353 0.015 0.097
0.382 0.867 0.151

***

TlBiC, optimized geometry, DFT PBE-GGA; total magnetic moment = 0.0 Bohr magnetons per cell; offset from the most stable computed form = 1.5 kJ per mole of atoms; calculated volume = 358 Å³ per cell; DOS(E_F) = 0.87 states/eV/f.u.
1.0
-1.745 2.293 5.546
3.521 -4.894 3.131
8.654 2.550 -5.745
C Bi Tl
4 4 4
Direct
0.376 0.218 0.441
0.624 0.718 0.059
0.376 0.718 0.941
0.624 0.218 0.559
0.959 0.285 0.221
0.041 0.285 0.779
0.959 0.785 0.721
0.041 0.785 0.279
0.605 0.532 0.329
0.605 0.032 0.829
0.395 0.532 0.671
0.395 0.032 0.171

***

ZrTlBi2C, optimized geometry, DFT PBE-GGA; total magnetic moment = 1.4 Bohr magnetons per cell; calculated volume = 143 Å³ per cell; DOS(E_F) = 7.22 states/eV/f.u.; electronic total energy = -19.804 eV for the cell shown
1.0
-2.090 5.396 -1.476
-3.382 -1.676 -1.340
-2.423 0.547 5.431
C Bi Tl Zr
1 2 1 1
Direct
0.000 0.500 0.000
0.000 0.000 0.500
0.500 0.000 0.000
0.000 0.000 0.000
0.500 0.500 0.500

***

Tm3BiC, optimized geometry, DFT PBE-GGA; total magnetic moment = 0.0 Bohr magnetons per cell; offset from the most stable computed form = 2.7 kJ per mole of atoms; calculated volume = 114 Å³ per cell; DOS(E_F) = 3.52 states/eV/f.u.
1.0
4.849 0.000 0.000
0.000 4.849 0.000
0.000 0.000 4.849
Tm C Bi
3 1 1
Direct
0.000 0.500 0.000
0.500 0.000 0.000
0.000 0.000 0.500
0.000 0.000 0.000
0.500 0.500 0.500

***

What is the DOS(E_F) in the fifth record? 7.22 states/eV/f.u.